(1)
This record from the Alexandria database describes a relaxed NpScPdRu crystal. The functional is PBE-GGA.

Lattice parameters (Å, degrees): 6.6955 6.6955 6.6955 90.00 90.00 90.00
Closest atoms and distances in Å follow each position.
Space group F-43m (No. 216)
Symmetry-distinct sites (fractional):
1 Np 0.0000 0.0000 0.0000 [4 per cell]  4 Ru 2.90, 4 Pd 2.90
2 Sc 0.0000 0.0000 0.5000 [4 per cell]  4 Ru 2.90, 4 Pd 2.90
3 Pd 0.2500 0.2500 0.7500 [4 per cell]  4 Np 2.90, 4 Sc 2.90
4 Ru 0.2500 0.2500 0.2500 [4 per cell]  4 Np 2.90, 4 Sc 2.90

Properties
Crystal system: cubic
E_tot in eV per formula unit: -35.07



(2)
This record from the Alexandria database describes a relaxed NpSi2PdRu crystal. The functional is PBE-GGA.

Lattice parameters (Å, degrees): 4.0439 4.0439 10.2303 90.00 90.00 90.00
Closest atoms and distances in Å follow each position.
Space group I-4m2 (No. 119)
Symmetry-distinct sites (fractional):
1 Np 0.0000 0.0000 0.0000 [2 per cell]  8 Si 3.10, 4 Pd 3.26, 4 Ru 3.26
2 Si 0.0000 0.0000 0.3819 [4 per cell]  1 Si 2.42, 2 Ru 2.43, 2 Pd 2.43
3 Pd 0.0000 0.5000 0.7500 [2 per cell]  4 Si 2.43
4 Ru 0.0000 0.5000 0.2500 [2 per cell]  4 Si 2.43

Properties
Crystal system: tetragonal
Formation energy without anion corrections in eV per atom: -0.57
E_tot in eV per formula unit: -41.13



(3)
This record from the Alexandria database describes a relaxed NpSnPdRu crystal. The functional is PBE-GGA.

Lattice parameters (Å, degrees): 6.7277 6.7277 6.7277 90.00 90.00 90.00
Closest atoms and distances in Å follow each position.
Space group F-43m (No. 216)
Symmetry-distinct sites (fractional):
1 Np 0.0000 0.0000 0.0000 [4 per cell]  4 Ru 2.91, 4 Pd 2.91
2 Sn 0.0000 0.0000 0.5000 [4 per cell]  4 Ru 2.91, 4 Pd 2.91
3 Pd 0.2500 0.2500 0.2500 [4 per cell]  4 Sn 2.91, 4 Np 2.91
4 Ru 0.2500 0.2500 0.7500 [4 per cell]  4 Sn 2.91, 4 Np 2.91

Properties
Crystal system: cubic
E_tot in eV per formula unit: -32.17



(4)
This record from the Alexandria database describes a relaxed NpZnPdRu crystal. The functional is PBE-GGA.

Lattice parameters (Å, degrees): 6.5102 6.5102 6.5102 90.00 90.00 90.00
Closest atoms and distances in Å follow each position.
Space group F-43m (No. 216)
Symmetry-distinct sites (fractional):
1 Np 0.0000 0.0000 0.0000 [4 per cell]  4 Ru 2.82, 4 Pd 2.82
2 Zn 0.0000 0.0000 0.5000 [4 per cell]  4 Ru 2.82, 4 Pd 2.82
3 Pd 0.2500 0.2500 0.7500 [4 per cell]  4 Np 2.82, 4 Zn 2.82
4 Ru 0.2500 0.2500 0.2500 [4 per cell]  4 Np 2.82, 4 Zn 2.82

Properties
Crystal system: cubic
E_tot in eV per formula unit: -29.30



(5)
This record from the Alexandria database describes a relaxed Np3PdS6 crystal. The functional is PBE-GGA.

Lattice parameters (Å, degrees): 10.5407 12.8577 6.3571 90.00 90.00 90.00
Closest atoms and distances in Å follow each position.
Space group Cmc2_1 (No. 36)
Symmetry-distinct sites (fractional):
1 Np 0.0000 0.1079 0.0000 [4 per cell]  7 S 2.68-2.80
2 Np 0.1760 0.3975 0.0957 [8 per cell]  7 S 2.69-2.83
3 Pd 0.0000 0.3073 0.6623 [4 per cell]  4 S 2.39-2.49
4 S 0.0000 0.2726 0.2763 [4 per cell]  1 Pd 2.49, 3 Np 2.71-2.75
5 S 0.0000 0.4767 0.8163 [4 per cell]  1 Pd 2.39
6 S 0.1618 0.0320 0.2970 [8 per cell]  4 Np 2.71-2.80
7 S 0.1814 0.2295 0.8352 [8 per cell]  1 Pd 2.42, 2 Np 2.68-2.69

Properties
Crystal system: orthorhombic
Formation energy without anion corrections in eV per atom: -1.18
E_tot in eV per formula unit: -80.60



(6)
This record from the Alexandria database describes a relaxed NpPdS crystal. The functional is PBE-GGA.

Lattice parameters (Å, degrees): 6.9156 3.7927 9.0891 90.00 90.00 90.00
Closest atoms and distances in Å follow each position.
Space group Pnma (No. 62)
Symmetry-distinct sites (fractional):
1 Np 0.1821 0.2500 0.1526 [4 per cell]  4 S 2.69-2.75, 2 Pd 2.97
2 Pd 0.0306 0.7500 0.3761 [4 per cell]  3 S 2.72-2.88, 2 Np 2.97, 2 Pd 2.97
3 S 0.1972 0.7500 0.9343 [4 per cell]  4 Np 2.69-2.75, 3 Pd 2.72-2.88

Properties
Crystal system: orthorhombic
Formation energy without anion corrections in eV per atom: -0.64
E_tot in eV per formula unit: -24.17



(7)
This record from the Alexandria database describes a relaxed NpPdS2 crystal. The functional is PBE-GGA.

Lattice parameters (Å, degrees): 4.0678 4.0678 15.8051 90.00 90.00 120.00
Closest atoms and distances in Å follow each position.
Space group R-3m (No. 166, hexagonal axes)
Symmetry-distinct sites (fractional):
1 Np 0.0000 0.0000 0.0000 [3 per cell]  6 S 2.70
2 Pd 0.0000 0.0000 0.5000 [3 per cell]  6 S 2.69
3 S 0.0000 0.0000 0.2493 [6 per cell]  3 Pd 2.69, 3 Np 2.70

Properties
Crystal system: trigonal
Formation energy without anion corrections in eV per atom: -0.90
ΔE to the lowest computed polymorph in eV per atom: 0.076
E_tot in eV per formula unit: -29.99



(8)
This record from the Alexandria database describes a relaxed Np2PdS6 crystal. The functional is PBE-GGA.

Lattice parameters (Å, degrees): 6.2425 6.2425 11.0328 90.00 90.00 90.00
Closest atoms and distances in Å follow each position.
Space group P4_2/mnm (No. 136)
Symmetry-distinct sites (fractional):
1 Np 0.0000 0.0000 0.1775 [4 per cell]  6 S 2.55-2.68
2 Pd 0.0000 0.0000 0.5000 [2 per cell]  4 S 2.42
3 S 0.1854 0.1854 0.0000 [4 per cell]  2 Np 2.55, 1 Pd 2.78
4 S 0.1981 0.1981 0.3486 [8 per cell]  1 Pd 2.42, 2 Np 2.57-2.68

Properties
Crystal system: tetragonal
Formation energy without anion corrections in eV per atom: -0.77
E_tot in eV per formula unit: -62.74



- E_tot of number 6 (NpPdS)?
  -24.17 eV per formula unit



- Look up the E_tot of the first one.
  -35.07 eV per formula unit